No. 1
Na3Nb2O7: optimized geometry, PBE.

Results
calculated total energy = -7.0370 eV/atom
crystal system = tetragonal
uncorrected formation energy = -2.137 eV per atom

Geometry as CIF:
```
data_Na3Nb2O7
_chemical_formula_sum 'Na6 Nb4 O14'
_space_group_name_H-M_alt 'I 4/m m m'
_space_group_IT_number 139
_space_group_name_Hall '-I 4 2'
_cell_length_a 4.013
_cell_length_b 4.013
_cell_length_c 20.437
_cell_angle_alpha 90.00
_cell_angle_beta 90.00
_cell_angle_gamma 90.00
loop_
_atom_site_label
_atom_site_fract_x
_atom_site_fract_y
_atom_site_fract_z
Na1 0.000 0.000 0.000
Na2 0.000 0.000 0.193
Nb1 0.000 0.000 0.396
O1 0.000 0.000 0.305
O2 0.000 0.000 0.500
O3 0.000 0.500 0.096
```

***

No. 2
Li2HoIn: optimized geometry, PBE.

Results
calculated total energy = -2.8804 eV/atom
offset from the most stable computed form = 0.182 eV per atom
crystal system = tetragonal

Geometry as CIF:
```
data_Li2HoIn
_chemical_formula_sum 'Li2 Ho1 In1'
_space_group_name_H-M_alt 'P 4/m m m'
_space_group_IT_number 123
_space_group_name_Hall '-P 4 2'
_cell_length_a 3.656
_cell_length_b 3.656
_cell_length_c 6.668
_cell_angle_alpha 90.00
_cell_angle_beta 90.00
_cell_angle_gamma 90.00
loop_
_atom_site_label
_atom_site_fract_x
_atom_site_fract_y
_atom_site_fract_z
Li1 0.000 0.000 0.211
Ho1 0.500 0.500 0.500
In1 0.500 0.500 0.000
```

***

No. 3
YHoSi2: optimized geometry, PBE.

Results
calculated total energy = -6.3095 eV/atom
offset from the most stable computed form = 0.000 eV per atom
crystal system = orthorhombic
uncorrected formation energy = -0.837 eV per atom

Geometry as CIF:
```
data_YHoSi2
_chemical_formula_sum 'Y2 Ho2 Si4'
_space_group_name_H-M_alt 'A m m 2'
_space_group_IT_number 38
_cell_length_a 3.833
_cell_length_b 4.270
_cell_length_c 10.522
_cell_angle_alpha 90.00
_cell_angle_beta 90.00
_cell_angle_gamma 90.00
loop_
_space_group_symop_operation_xyz
'x,y,z'
'-x,-y,z'
'-x,y,z'
'x,-y,z'
'x,y+1/2,z+1/2'
'-x,-y+1/2,z+1/2'
'-x,y+1/2,z+1/2'
'x,-y+1/2,z+1/2'
loop_
_atom_site_label
_atom_site_fract_x
_atom_site_fract_y
_atom_site_fract_z
Y1 0.000 0.000 0.000
Ho1 0.500 0.000 0.719
Si1 0.000 0.000 0.283
Si2 0.500 0.000 0.436
```

***

No. 4
PmPr6Cd2: optimized geometry, PBE.

Results
calculated total energy = -4.0519 eV/atom
offset from the most stable computed form = 0.000 eV per atom
crystal system = monoclinic

Geometry as CIF:
```
data_PmPr6Cd2
_chemical_formula_sum 'Pm2 Pr12 Cd4'
_space_group_name_H-M_alt 'C 1 2/m 1'
_space_group_IT_number 12
_cell_length_a 13.089
_cell_length_b 3.876
_cell_length_c 12.398
_cell_angle_alpha 90.00
_cell_angle_beta 108.67
_cell_angle_gamma 90.00
loop_
_space_group_symop_operation_xyz
'x,y,z'
'-x,-y,-z'
'-x,y,-z'
'x,-y,z'
'x+1/2,y+1/2,z'
'-x+1/2,-y+1/2,-z'
'-x+1/2,y+1/2,-z'
'x+1/2,-y+1/2,z'
loop_
_atom_site_label
_atom_site_fract_x
_atom_site_fract_y
_atom_site_fract_z
Pm1 0.000 0.000 0.000
Pr1 0.021 0.000 0.337
Pr2 0.184 0.500 0.876
Pr3 0.189 0.500 0.588
Cd1 0.145 0.500 0.202
```

***

No. 5
BeHg3: optimized geometry, PBE.

Results
calculated total energy = -0.8812 eV/atom
offset from the most stable computed form = 0.059 eV per atom
crystal system = monoclinic

Geometry as CIF:
```
data_BeHg3
_chemical_formula_sum 'Be1 Hg3'
_space_group_name_H-M_alt 'P 1 2/m 1'
_space_group_IT_number 10
_cell_length_a 4.886
_cell_length_b 3.759
_cell_length_c 5.656
_cell_angle_alpha 90.00
_cell_angle_beta 113.84
_cell_angle_gamma 90.00
loop_
_space_group_symop_operation_xyz
'x,y,z'
'-x,-y,-z'
'-x,y,-z'
'x,-y,z'
loop_
_atom_site_label
_atom_site_fract_x
_atom_site_fract_y
_atom_site_fract_z
Be1 0.000 0.000 0.000
Hg1 0.171 0.500 0.333
Hg2 0.500 0.000 0.000
```

***

No. 6
CeBiRh: optimized geometry, PBE.

Results
calculated total energy = -6.3578 eV/atom
crystal system = hexagonal

Geometry as CIF:
```
data_CeBiRh
_chemical_formula_sum 'Ce1 Bi1 Rh1'
_space_group_name_H-M_alt 'P -6 m 2'
_space_group_IT_number 187
_space_group_name_Hall 'P -6 2'
_cell_length_a 4.7133
_cell_length_b 4.7133
_cell_length_c 3.7387
_cell_angle_alpha 90.00
_cell_angle_beta 90.00
_cell_angle_gamma 120.00
loop_
_atom_site_label
_atom_site_fract_x
_atom_site_fract_y
_atom_site_fract_z
Ce1 0.0000 0.0000 0.0000
Bi1 0.3333 0.6667 0.5000
Rh1 0.6667 0.3333 0.5000
```